1.
DFT (PBE) results for crystalline TaBe2 at its relaxed geometry.

Unit cell a=4.6951 b=4.6951 c=4.6745 alpha=90.00 beta=90.00 gamma=138.45
Sites, in units of the cell vectors:
1 Be 0.0000 0.4997 0.9997
2 Be 0.0000 0.4997 0.4996
3 Be 0.5813 0.9184 0.2495
4 Be 0.4187 0.0810 0.7497
5 Ta 0.7067 0.7930 0.7496
6 Ta 0.2933 0.2064 0.2497

Calculated values
* E_tot: -39.8 eV per cell
* total moment: 0.00 μB per formula unit
* calculated formation energy: -0.196 eV/atom

***

2.
DFT (PBE) results for crystalline La4TeO10 at its relaxed geometry.

Unit cell a=5.6840 b=6.8532 c=6.8532 alpha=80.10 beta=65.50 gamma=65.50
Site moments in Bohr magnetons follow the coordinates.
Sites, in units of the cell vectors:
1 La 0.4018 0.7940 0.4024  0.01
2 La 0.8042 0.5976 0.7940  0.01
3 La 0.1958 0.4024 0.2060  0.01
4 La 0.5982 0.2060 0.5976  0.01
5 Te 0.0000 0.0000 0.0000  -0.03
6 O 0.2500 0.5000 0.5000  0.07
7 O 0.6886 0.2683 0.9197  0.20
8 O 0.0431 0.0803 0.2683  0.20
9 O 0.3918 0.9197 0.7317  0.20
10 O 0.8765 0.7317 0.0803  0.20
11 O 0.3114 0.7317 0.0803  0.20
12 O 0.7500 0.5000 0.5000  0.07
13 O 0.1235 0.2683 0.9197  0.20
14 O 0.6082 0.0803 0.2683  0.20
15 O 0.9569 0.9197 0.7317  0.20

Calculated values
* E_tot: -108.4 eV per cell
* total moment: 2.06 μB per formula unit
* energy relative to the elements, uncorrected: -2399 meV/atom